A relaxed CaPr3Pt crystal. Source: the Alexandria database, functional GGA-PBE.

abc: 5.759 5.759 5.759
angles: 90.00 90.00 90.00
Site moments in Bohr magnetons follow the coordinates.
Fractional coordinates of all 5 atoms:
1 Pr 0.000 0.000 0.500  0.07
2 Pr 0.500 0.000 0.000  0.07
3 Pr 0.000 0.500 0.000  0.07
4 Pt 0.000 0.000 0.000  0.01
5 Ca 0.500 0.500 0.500  0.02

Values from the calculation:
The calculated formation energy is -0.3037 eV/atom. The calculation puts the energy relative to the lowest polymorph listed for this composition at 0.089 eV/atom. The value obtained for the spin magnetization is 0.60 μB/cell.